(1)
K3Hf4Ag2F23 | GGA-PBEsol | optimized geometry

POSCAR file:
```
K3Hf4Ag2F23
1.0
7.8229 0.0000 0.0000
0.0000 11.0103 0.0000
-1.1466 0.0000 10.0913
K Hf Ag F
6 8 4 46
Direct
0.0000 0.0000 0.0000
0.0000 0.5000 0.5000
0.2736 0.0259 0.3677
0.2736 0.4741 0.8677
0.7264 0.5259 0.1323
0.7264 0.9741 0.6323
0.1665 0.6966 0.1650
0.1665 0.8034 0.6650
0.4716 0.6840 0.4563
0.4716 0.8160 0.9563
0.5284 0.1840 0.0437
0.5284 0.3160 0.5437
0.8335 0.1966 0.3350
0.8335 0.3034 0.8350
0.1854 0.1578 0.6897
0.1854 0.3422 0.1897
0.8146 0.6578 0.8103
0.8146 0.8422 0.3103
0.0053 0.2167 0.4933
0.0053 0.2833 0.9933
0.0182 0.1443 0.2276
0.0182 0.3557 0.7276
0.0277 0.6401 0.7116
0.0277 0.8599 0.2116
0.1297 0.5233 0.0966
0.1297 0.9767 0.5966
0.2640 0.6456 0.5637
0.2640 0.8544 0.0637
0.3083 0.5840 0.3104
0.3083 0.9160 0.8104
0.3194 0.7068 0.8160
0.3194 0.7932 0.3160
0.3532 0.1376 0.1596
0.3532 0.3624 0.6596
0.3546 0.1894 0.8844
0.3546 0.3106 0.3844
0.3851 0.6603 0.0677
0.3851 0.8397 0.5677
0.3884 0.1534 0.5799
0.3884 0.3466 0.0799
0.5000 0.0000 0.0000
0.5000 0.5000 0.5000
0.6116 0.6534 0.9201
0.6116 0.8466 0.4201
0.6149 0.1603 0.4323
0.6149 0.3397 0.9323
0.6454 0.6894 0.6156
0.6454 0.8106 0.1156
0.6468 0.6376 0.3404
0.6468 0.8624 0.8404
0.6806 0.2068 0.6840
0.6806 0.2932 0.1840
0.6917 0.0840 0.1896
0.6917 0.4160 0.6896
0.7360 0.1456 0.9363
0.7360 0.3544 0.4363
0.8703 0.0233 0.4034
0.8703 0.4767 0.9034
0.9723 0.1401 0.7884
0.9723 0.3599 0.2884
0.9818 0.6443 0.2724
0.9818 0.8557 0.7724
0.9947 0.7167 0.0067
0.9947 0.7833 0.5067
```

Computed properties:
Crystal system ... monoclinic
SG ... P2_1/c


(2)
MoSe2 | GGA-PBEsol | optimized geometry

POSCAR file:
```
MoSe2
1.0
1.6354 0.9442 6.5235
-1.6354 0.9442 6.5235
0.0000 -1.8883 6.5235
Mo Se
1 2
Direct
0.0000 0.0000 0.0000
0.5816 0.5816 0.5816
0.7517 0.7517 0.7517
```

Computed properties:
Crystal system ... trigonal
SG ... R3m


(3)
P3RhO | GGA-PBEsol | optimized geometry

POSCAR file:
```
P3RhO
1.0
4.0170 0.0000 0.0000
0.0000 4.0170 0.0000
0.0000 0.0000 4.0170
P Rh O
3 1 1
Direct
0.0000 0.0000 0.5000
0.0000 0.5000 0.0000
0.5000 0.0000 0.0000
0.5000 0.5000 0.5000
0.0000 0.0000 0.0000
```

Computed properties:
Crystal system ... cubic
SG ... Pm-3m


(4)
BaIn2Br | GGA-PBEsol | optimized geometry

POSCAR file:
```
BaIn2Br
1.0
0.0000 3.9958 3.9958
3.9958 0.0000 3.9958
3.9958 3.9958 0.0000
Ba In Br
1 2 1
Direct
0.0000 0.0000 0.0000
0.2500 0.2500 0.2500
0.7500 0.7500 0.7500
0.5000 0.5000 0.5000
```

Computed properties:
Crystal system ... cubic
SG ... Fm-3m
Energy above the lowest structure with this stoichiometry ... 0.443 eV per atom


(5)
MgBe4Rh | GGA-PBEsol | optimized geometry

POSCAR file:
```
MgBe4Rh
1.0
0.0000 3.1082 3.1082
3.1082 0.0000 3.1082
3.1082 3.1082 0.0000
Mg Be Rh
1 4 1
Direct
0.0000 0.0000 0.0000
0.1295 0.6235 0.6235
0.6235 0.1295 0.6235
0.6235 0.6235 0.1295
0.6235 0.6235 0.6235
0.2500 0.2500 0.2500
```

Computed properties:
Crystal system ... cubic
SG ... F-43m


(6)
Cd3As2 | GGA-PBEsol | optimized geometry

POSCAR file:
```
Cd3As2
1.0
8.9733 0.0000 0.0000
0.0000 8.9733 0.0000
0.0000 0.0000 12.5727
Cd As
24 16
Direct
0.0048 0.7500 0.1062
0.0281 0.7500 0.6417
0.0306 0.2500 0.6322
0.2500 0.0306 0.1322
0.2500 0.4694 0.1322
0.2500 0.5048 0.3938
0.2500 0.5281 0.8583
0.2500 0.9719 0.8583
0.2500 0.9952 0.3938
0.4694 0.2500 0.6322
0.4719 0.7500 0.6417
0.4952 0.7500 0.1062
0.5048 0.2500 0.8938
0.5281 0.2500 0.3583
0.5306 0.7500 0.3678
0.7500 0.0048 0.6062
0.7500 0.0281 0.1417
0.7500 0.4719 0.1417
0.7500 0.4952 0.6062
0.7500 0.5306 0.8678
0.7500 0.9694 0.8678
0.9694 0.7500 0.3678
0.9719 0.2500 0.3583
0.9952 0.2500 0.8938
0.0038 0.5038 0.2500
0.0038 0.9962 0.2500
0.2500 0.2500 0.4925
0.2500 0.2500 0.9925
0.2500 0.7500 0.5036
0.2500 0.7500 0.9964
0.4962 0.5038 0.2500
0.4962 0.9962 0.2500
0.5038 0.0038 0.7500
0.5038 0.4962 0.7500
0.7500 0.2500 0.0036
0.7500 0.2500 0.4964
0.7500 0.7500 0.0075
0.7500 0.7500 0.5075
0.9962 0.0038 0.7500
0.9962 0.4962 0.7500
```

Computed properties:
Crystal system ... tetragonal
SG ... P4_2/nmc


(7)
ReMo2Os | GGA-PBEsol | optimized geometry

POSCAR file:
```
ReMo2Os
1.0
0.0000 3.0963 3.0963
3.0963 0.0000 3.0963
3.0963 3.0963 0.0000
Re Mo Os
1 2 1
Direct
0.0000 0.0000 0.0000
0.5000 0.5000 0.5000
0.7500 0.7500 0.7500
0.2500 0.2500 0.2500
```

Computed properties:
Crystal system ... cubic
SG ... F-43m


(8)
LaTa2PPt | GGA-PBEsol | optimized geometry

POSCAR file:
```
LaTa2PPt
1.0
4.6997 0.0000 0.0000
0.0000 4.6997 0.0000
0.0000 0.0000 4.5581
La Ta P Pt
1 2 1 1
Direct
0.0000 0.0000 0.0000
0.0000 0.5000 0.5000
0.5000 0.0000 0.5000
0.5000 0.5000 0.5000
0.5000 0.5000 0.0000
```

Computed properties:
Crystal system ... tetragonal
SG ... P4/mmm


(9)
Y10Cd3Pd | GGA-PBEsol | optimized geometry

POSCAR file:
```
Y10Cd3Pd
1.0
9.5568 0.0000 0.0000
-4.7784 8.2765 0.0000
0.0000 0.0000 9.6571
Y Cd Pd
20 6 2
Direct
0.0000 0.0000 0.0000
0.0000 0.0000 0.5000
0.0873 0.5437 0.2500
0.2074 0.4148 0.5585
0.2074 0.4148 0.9415
0.2074 0.7926 0.5585
0.2074 0.7926 0.9415
0.4148 0.2074 0.0585
0.4148 0.2074 0.4415
0.4563 0.5437 0.2500
0.4563 0.9127 0.2500
0.5437 0.0873 0.7500
0.5437 0.4563 0.7500
0.5852 0.7926 0.5585
0.5852 0.7926 0.9415
0.7926 0.2074 0.0585
0.7926 0.2074 0.4415
0.7926 0.5852 0.0585
0.7926 0.5852 0.4415
0.9127 0.4563 0.7500
0.1147 0.2293 0.2500
0.1147 0.8853 0.2500
0.2293 0.1147 0.7500
0.7707 0.8853 0.2500
0.8853 0.1147 0.7500
0.8853 0.7707 0.7500
0.3333 0.6667 0.7500
0.6667 0.3333 0.2500
```

Computed properties:
Crystal system ... hexagonal
SG ... P6_3/mmc


(10)
BaCaAl2 | GGA-PBEsol | optimized geometry

POSCAR file:
```
BaCaAl2
1.0
4.5978 0.0000 0.0000
0.0000 2.0015 6.6969
0.0000 -2.0015 6.6969
Ba Ca Al
1 1 2
Direct
0.0000 0.0000 0.0000
0.5000 0.7006 0.7006
0.0000 0.2775 0.2775
0.5000 0.3862 0.3862
```

Computed properties:
Crystal system ... orthorhombic
SG ... Amm2
Energy above the lowest structure with this stoichiometry ... 0.000 eV per atom


(11)
MnRhSN2 | GGA-PBEsol | optimized geometry

POSCAR file:
```
MnRhSN2
1.0
3.7080 0.0000 0.0000
0.0000 3.7080 0.0000
0.0000 0.0000 5.1434
Mn Rh S N
1 1 1 2
Direct
0.0000 0.0000 0.0000
0.5000 0.5000 0.5000
0.5000 0.5000 0.0000
0.0000 0.5000 0.5000
0.5000 0.0000 0.5000
```

Computed properties:
Crystal system ... tetragonal
SG ... P4/mmm
Energy above the lowest structure with this stoichiometry ... 0.232 eV per atom


(12)
TePBr2 | GGA-PBEsol | optimized geometry

POSCAR file:
```
TePBr2
1.0
2.7611 -6.1693 0.0000
2.7611 6.1693 0.0000
0.0000 0.0000 3.3653
Te P Br
1 1 2
Direct
0.0000 0.0000 0.0000
0.5000 0.5000 0.0000
0.3487 0.6513 0.5000
0.6513 0.3487 0.5000
```

Computed properties:
Crystal system ... orthorhombic
SG ... Cmmm
Energy above the lowest structure with this stoichiometry ... 0.104 eV per atom


(13)
Ho2VPO8 | GGA-PBEsol | optimized geometry

POSCAR file:
```
Ho2VPO8
1.0
-3.4872 3.4872 3.0492
3.4872 -3.4872 3.0492
3.4872 3.4872 -3.0492
Ho V P O
2 1 1 8
Direct
0.0000 0.0000 0.0000
0.7500 0.2500 0.5000
0.5000 0.5000 0.0000
0.2500 0.7500 0.5000
0.0910 0.4168 0.3258
0.0910 0.7653 0.6742
0.1332 0.3191 0.8141
0.2347 0.9090 0.3258
0.5050 0.3191 0.1859
0.5832 0.9090 0.6742
0.6809 0.4950 0.8141
0.6809 0.8668 0.1859
```

Computed properties:
Crystal system ... tetragonal
SG ... I-4m2


(14)
As2OsBr | GGA-PBEsol | optimized geometry

POSCAR file:
```
As2OsBr
1.0
2.9313 0.0000 0.0000
0.0000 2.9313 0.0000
0.0000 0.0000 9.4639
As Os Br
2 1 1
Direct
0.0000 0.0000 0.1702
0.0000 0.0000 0.8298
0.5000 0.5000 0.0000
0.5000 0.5000 0.5000
```

Computed properties:
Crystal system ... tetragonal
SG ... P4/mmm


(15)
TaOsAu2 | GGA-PBEsol | optimized geometry

POSCAR file:
```
TaOsAu2
1.0
3.0785 0.0000 0.0000
0.0000 3.6717 0.0000
0.0000 0.0000 5.7641
Ta Os Au
1 1 2
Direct
0.0000 0.0000 0.0000
0.5000 0.5000 0.7895
0.0000 0.0000 0.5191
0.5000 0.5000 0.2767
```

Computed properties:
Crystal system ... orthorhombic
SG ... Pmm2


(16)
CuTe3H | GGA-PBEsol | optimized geometry

POSCAR file:
```
CuTe3H
1.0
5.1106 0.0000 0.0000
0.0000 5.1106 0.0000
0.0000 0.0000 5.1106
Cu Te H
1 3 1
Direct
0.0000 0.0000 0.0000
0.0000 0.0000 0.5000
0.0000 0.5000 0.0000
0.5000 0.0000 0.0000
0.5000 0.5000 0.5000
```

Computed properties:
Crystal system ... cubic
SG ... Pm-3m


(17)
KTcBr2 | GGA-PBEsol | optimized geometry

POSCAR file:
```
KTcBr2
1.0
7.4076 -1.8060 0.0000
7.4076 1.8060 0.0000
-0.0054 0.0000 3.9420
K Tc Br
1 1 2
Direct
0.0000 0.0000 0.0000
0.7858 0.7858 0.5041
0.3090 0.3090 0.0043
0.6082 0.6082 0.5006
```

Computed properties:
Crystal system ... monoclinic
SG ... Cm
Energy above the lowest structure with this stoichiometry ... 0.132 eV per atom


(18)
La3Rh | GGA-PBEsol | optimized geometry

POSCAR file:
```
La3Rh
1.0
7.2346 0.0000 0.0000
0.0000 10.0011 0.0000
0.0000 0.0000 6.4581
La Rh
12 4
Direct
0.0356 0.2500 0.1456
0.1698 0.0658 0.6646
0.1698 0.4342 0.6646
0.3302 0.5658 0.1646
0.3302 0.9342 0.1646
0.4644 0.7500 0.6456
0.5356 0.2500 0.3544
0.6698 0.0658 0.8354
0.6698 0.4342 0.8354
0.8302 0.5658 0.3354
0.8302 0.9342 0.3354
0.9644 0.7500 0.8544
0.1257 0.7500 0.4219
0.3743 0.2500 0.9219
0.6257 0.7500 0.0781
0.8743 0.2500 0.5781
```

Computed properties:
Crystal system ... orthorhombic
SG ... Pnma


(19)
Re2PCl | GGA-PBEsol | optimized geometry

POSCAR file:
```
Re2PCl
1.0
2.9522 0.0000 0.0000
0.0000 2.9522 0.0000
0.0000 0.0000 6.5171
Re P Cl
2 1 1
Direct
0.0000 0.0000 0.2003
0.0000 0.0000 0.7997
0.5000 0.5000 0.0000
0.5000 0.5000 0.5000
```

Computed properties:
Crystal system ... tetragonal
SG ... P4/mmm
Energy above the lowest structure with this stoichiometry ... 0.003 eV per atom


(20)
Mn3O2F4 | GGA-PBEsol | optimized geometry

POSCAR file:
```
Mn3O2F4
1.0
9.4962 0.0000 0.0000
0.0000 4.6605 0.0000
0.0000 0.0000 4.6112
Mn O F
6 4 8
Direct
0.0000 0.2481 0.0000
0.1746 0.7104 0.4646
0.3254 0.2896 0.9646
0.5000 0.7519 0.5000
0.6746 0.2896 0.9646
0.8254 0.7104 0.4646
0.1667 0.4383 0.1590
0.3333 0.5617 0.6590
0.6667 0.5617 0.6590
0.8333 0.4383 0.1590
0.0000 0.5130 0.6567
0.0000 0.9085 0.2856
0.1565 0.0193 0.7656
0.3435 0.9807 0.2656
0.5000 0.0915 0.7856
0.5000 0.4870 0.1567
0.6565 0.9807 0.2656
0.8435 0.0193 0.7656
```

Computed properties:
Crystal system ... orthorhombic
SG ... Pmn2_1
Energy above the lowest structure with this stoichiometry ... 0.007 eV per atom


(21)
MgIr2Au | GGA-PBEsol | optimized geometry

POSCAR file:
```
MgIr2Au
1.0
0.0000 3.1335 3.1335
3.1335 0.0000 3.1335
3.1335 3.1335 0.0000
Mg Ir Au
1 2 1
Direct
0.0000 0.0000 0.0000
0.2500 0.2500 0.2500
0.5000 0.5000 0.5000
0.7500 0.7500 0.7500
```

Computed properties:
Crystal system ... cubic
SG ... F-43m


Total energy list, top to bottom, in eV per formula unit: -198.4; -21.6; -29.0; -11.0; -27.8; -14.0; -48.1; -43.3; -82.2; -13.0; -35.1; -12.8; -104.2; -23.8; -32.6; -14.0; -16.1; -25.8; -32.7; -65.7; -24.7